Record 1
Compound: CaEuHg
Source: Alexandria
Functional: PBE
Structure: optimized geometry

The value obtained for the density of states at the Fermi level is 9.1 states/eV/f.u. As for the space group: P3m1, No. 156. The calculation puts the electronic total energy at -4.441 eV per atom. The energy relative to the elements comes out at -248 meV per atom. The crystal system is trigonal.

Lattice parameters (Å, degrees): 5.373 5.373 4.042 90.00 90.00 120.00
Positions (direct):
Ca  0.000  0.000  0.000
Eu  0.333  0.667  0.526
Hg  0.667  0.333  0.155



Record 2
Compound: Sb2MoRh
Source: Alexandria
Functional: PBE
Structure: optimized geometry

The value obtained for the density of states at the Fermi level is 3.9 states/eV/f.u. As for the space group: P2/m, No. 10. The calculation puts the electronic total energy at -6.569 eV per atom. The crystal system is monoclinic.

Lattice parameters (Å, degrees): 3.348 3.347 6.482 90.00 90.46 90.00
Positions (direct):
Sb  0.003  0.000  0.246
Sb  0.997  0.000  0.754
Mo  0.500  0.500  0.000
Rh  0.500  0.500  0.500



Record 3
Compound: Ce2SmTh6
Source: Alexandria
Functional: PBE
Structure: optimized geometry

The value obtained for the density of states at the Fermi level is 16.4 states/eV/f.u. As for the space group: P-6m2, No. 187. The calculation puts the electronic total energy at -6.681 eV per atom. The energy relative to the elements comes out at 108 meV per atom. The crystal system is hexagonal.

Lattice parameters (Å, degrees): 3.509 3.509 26.905 90.00 90.00 120.00
Positions (direct):
Ce  0.000  0.000  0.170
Ce  0.000  0.000  0.830
Sm  0.333  0.667  0.500
Th  0.000  0.000  0.388
Th  0.000  0.000  0.612
Th  0.333  0.667  0.062
Th  0.333  0.667  0.278
Th  0.333  0.667  0.722
Th  0.333  0.667  0.938